A relaxed structure of CaLuCdSi, computed with PBE.

Cell and atoms, written as CIF:
```
data_CaLuCdSi
_chemical_formula_sum 'Ca4 Lu4 Cd4 Si4'
_space_group_name_H-M_alt 'F -4 3 m'
_space_group_IT_number 216
_space_group_name_Hall 'F -4 2 3'
_cell_length_a 7.217
_cell_length_b 7.217
_cell_length_c 7.217
_cell_angle_alpha 90.00
_cell_angle_beta 90.00
_cell_angle_gamma 90.00
loop_
_atom_site_label
_atom_site_type_symbol
_atom_site_fract_x
_atom_site_fract_y
_atom_site_fract_z
Ca1 Ca 0.000 0.000 0.000
Lu1 Lu 0.000 0.000 0.500
Cd1 Cd 0.250 0.250 0.250
Si1 Si 0.250 0.250 0.750
```

Properties
The total magnetic moment is 0.01 μB per cell. The value obtained for the final energy is -3.518 eV per atom. Its formation energy (no corrections) is -1.211 eV per formula unit. The calculation puts the density of states at the Fermi level at 11.19 states/eV per cell.